# NpNbAs2, optimized geometry, DFT GGA-PBE
data_NpNbAs2
_chemical_formula_sum 'Np3 Nb3 As6'
_space_group_name_H-M_alt 'R -3 m'
_space_group_IT_number 166
_space_group_name_Hall '-R 3 2"'
_cell_length_a 3.8974
_cell_length_b 3.8974
_cell_length_c 19.0661
_cell_angle_alpha 90.00
_cell_angle_beta 90.00
_cell_angle_gamma 120.00
loop_
_atom_site_label
_atom_site_type_symbol
_atom_site_fract_x
_atom_site_fract_y
_atom_site_fract_z
Np1 Np 0.0000 0.0000 0.0000
Nb1 Nb 0.0000 0.0000 0.5000
As1 As 0.0000 0.0000 0.2426
# Polymorph energy (0 for the lowest one) in meV/atom: 0.0
# M_tot in μB per atom: 0.929